{"formula": "CuSe", "functional": "PBE", "state": "optimized geometry", "lattice": [[-0.104, -0.514, 3.808], [1.835, -2.535, -2.232], [14.604, 9.134, 1.631]], "species": ["Se", "Se", "Se", "Se", "Se", "Se", "Cu", "Cu", "Cu", "Cu", "Cu", "Cu"], "fractional_positions": [[0.333, 0.667, 0.421], [0.333, 0.667, 0.223], [0.667, 0.333, 0.579], [0.000, 0.000, 0.070], [0.000, 0.000, 0.930], [0.667, 0.333, 0.777], [0.333, 0.667, 0.864], [0.000, 0.000, 0.372], [0.667, 0.333, 0.136], [0.333, 0.667, 0.706], [0.667, 0.333, 0.294], [0.000, 0.000, 0.628]], "sg": "No. 164"}



{"formula": "Cu2SiSe", "functional": "PBE", "state": "optimized geometry", "lattice": [[7.386, 0.054, 0.032], [6.696, 3.118, 0.032], [6.696, 1.508, 2.730]], "species": ["Si", "Cu", "Cu", "Se"], "fractional_positions": [[0.750, 0.750, 0.750], [0.496, 0.496, 0.496], [0.004, 0.004, 0.004], [0.250, 0.250, 0.250]], "sg": "No. 166"}



{"formula": "CuSi2Se", "functional": "PBE", "state": "optimized geometry", "lattice": [[-2.100, 0.340, 2.516], [-2.254, -1.752, -1.644], [2.095, -4.967, 2.420]], "species": ["Si", "Si", "Cu", "Se"], "fractional_positions": [[0.000, 0.000, 0.467], [0.000, 0.000, 0.033], [0.500, 0.500, 0.250], [0.500, 0.500, 0.750]], "sg": "No. 123"}



{"formula": "CuSi2Se", "functional": "PBE", "state": "optimized geometry", "lattice": [[-0.332, 1.058, -3.467], [-2.157, -1.523, -0.258], [-3.824, 5.091, 1.920]], "species": ["Si", "Si", "Se", "Cu"], "fractional_positions": [[0.000, 0.750, 0.448], [0.000, 0.750, 0.052], [0.500, 0.750, 0.750], [0.500, 0.250, 0.250]], "sg": "No. 47"}



{"formula": "CuSi2Se", "functional": "PBE", "state": "optimized geometry", "lattice": [[5.981, -0.011, -0.016], [3.859, 4.570, 0.016], [-4.880, -2.367, 2.523]], "species": ["Se", "Cu", "Si", "Si"], "fractional_positions": [[0.173, 0.673, 0.500], [0.499, 0.499, 0.000], [0.834, 0.334, 0.500], [0.994, 0.994, 0.000]], "sg": "No. 44"}



{"formula": "CuSi2Se", "functional": "PBE", "state": "optimized geometry", "lattice": [[-1.949, -3.770, -1.055], [1.932, -1.358, 1.284], [-3.210, 0.237, 5.084]], "species": ["Cu", "Si", "Si", "Se"], "fractional_positions": [[0.000, 0.870, 0.482], [0.500, 0.875, 0.259], [0.000, 0.879, 0.076], [0.500, 0.876, 0.684]], "sg": "No. 6"}



{"formula": "CuSi2Se", "functional": "PBE", "state": "optimized geometry", "lattice": [[2.569, -0.002, 0.000], [0.002, 2.569, 0.000], [0.000, 0.000, 11.171]], "species": ["Si", "Si", "Cu", "Se"], "fractional_positions": [[0.000, 0.000, 0.080], [0.000, 0.000, 0.420], [0.500, 0.500, 0.250], [0.500, 0.500, 0.750]], "sg": "No. 123"}



{"formula": "Cu8SiSe6", "functional": "PBE", "state": "optimized geometry", "lattice": [[-5.086, -5.061, 0.129], [1.770, -1.953, -6.826], [6.929, -6.867, 3.761]], "species": ["Se", "Se", "Se", "Se", "Se", "Se", "Se", "Se", "Se", "Se", "Se", "Se", "Cu", "Cu", "Cu", "Cu", "Cu", "Cu", "Cu", "Cu", "Cu", "Cu", "Cu", "Cu", "Cu", "Cu", "Cu", "Cu", "Si", "Si"], "fractional_positions": [[0.797, 0.500, 0.251], [0.512, 0.500, 0.843], [0.018, 0.500, 0.818], [0.238, 0.244, 0.093], [0.982, 0.000, 0.318], [0.289, 0.500, 0.489], [0.238, 0.756, 0.093], [0.762, 0.256, 0.593], [0.488, 0.000, 0.343], [0.711, 0.000, 0.989], [0.762, 0.744, 0.593], [0.203, 0.000, 0.751], [0.122, 0.279, 0.626], [0.671, 0.500, 0.044], [0.379, 0.000, 0.952], [0.621, 0.500, 0.452], [0.500, 0.682, 0.237], [0.187, 0.243, 0.377], [0.187, 0.757, 0.377], [0.500, 0.318, 0.237], [0.878, 0.779, 0.126], [0.878, 0.221, 0.126], [0.122, 0.721, 0.626], [0.813, 0.743, 0.877], [0.500, 0.818, 0.737], [0.813, 0.257, 0.877], [0.500, 0.182, 0.737], [0.329, 0.000, 0.544], [0.749, 0.000, 0.471], [0.251, 0.500, 0.971]], "sg": "No. 31"}



{"formula": "Cu2SiSe", "functional": "PBE", "state": "optimized geometry", "lattice": [[-3.424, -0.866, 0.433], [0.279, -2.405, -2.608], [1.316, -3.514, 3.382]], "species": ["Se", "Si", "Cu", "Cu"], "fractional_positions": [[0.000, 0.000, 0.375], [0.500, 0.500, 0.875], [0.000, 0.000, 0.875], [0.500, 0.500, 0.375]], "sg": "No. 123"}



{"formula": "Cu2SiSe", "functional": "PBE", "state": "optimized geometry", "lattice": [[4.444, 0.000, 0.000], [2.222, 3.849, 0.000], [2.222, 1.283, 3.629]], "species": ["Cu", "Cu", "Si", "Se"], "fractional_positions": [[0.000, 0.000, 0.000], [0.250, 0.250, 0.250], [0.750, 0.750, 0.750], [0.500, 0.500, 0.500]], "sg": "No. 216"}



{"formula": "CuSi2Se", "functional": "PBE", "state": "optimized geometry", "lattice": [[-1.966, -2.535, -1.547], [1.487, -2.446, 2.119], [-3.792, 0.772, 3.552]], "species": ["Se", "Si", "Si", "Cu"], "fractional_positions": [[0.000, 0.500, 0.500], [0.500, 0.500, 0.000], [0.000, 0.000, 0.000], [0.500, 0.000, 0.500]], "sg": "No. 123"}



{"formula": "Cu2SiSe", "functional": "PBE", "state": "optimized geometry", "lattice": [[-2.845, -1.792, 2.170], [0.233, -1.793, 3.570], [-1.508, 3.755, 3.320]], "species": ["Cu", "Cu", "Se", "Si"], "fractional_positions": [[0.992, 0.992, 0.045], [0.508, 0.508, 0.455], [0.750, 0.750, 0.750], [0.250, 0.250, 0.250]], "sg": "No. 12"}



{"formula": "Cu2SiSe", "functional": "PBE", "state": "optimized geometry", "lattice": [[4.804, -0.028, 0.050], [1.211, 4.649, -0.050], [-2.440, -3.049, 2.799]], "species": ["Se", "Cu", "Cu", "Si"], "fractional_positions": [[0.750, 0.250, 0.500], [0.013, 0.013, 0.000], [0.487, 0.487, 0.000], [0.250, 0.750, 0.500]], "sg": "No. 71"}



{"formula": "CuSi2Se", "functional": "PBE", "state": "optimized geometry", "lattice": [[-4.463, 3.523, -1.788], [-5.137, 2.946, 0.675], [0.618, 4.450, 1.211]], "species": ["Si", "Si", "Cu", "Se"], "fractional_positions": [[0.461, 0.461, 0.540], [0.039, 0.039, 0.960], [0.750, 0.750, 0.750], [0.250, 0.250, 0.250]], "sg": "No. 12"}



{"formula": "Cu4SiSe", "functional": "PBE", "state": "optimized geometry", "lattice": [[-2.686, -3.539, 2.189], [-3.660, -2.226, -2.486], [0.487, -4.718, -1.427]], "species": ["Si", "Cu", "Cu", "Cu", "Cu", "Se"], "fractional_positions": [[0.000, 0.000, 0.000], [0.374, 0.374, 0.877], [0.374, 0.877, 0.374], [0.374, 0.374, 0.374], [0.877, 0.374, 0.374], [0.750, 0.750, 0.750]], "sg": "No. 216"}



{"formula": "CuSiSe", "functional": "PBE", "state": "optimized geometry", "lattice": [[-0.681, -1.711, -3.867], [2.536, -3.142, -1.428], [-1.518, -3.991, -0.339]], "species": ["Si", "Se", "Cu"], "fractional_positions": [[0.500, 0.500, 0.500], [0.000, 0.000, 0.000], [0.750, 0.750, 0.750]], "sg": "No. 216"}



{"formula": "Cu2SiSe", "functional": "PBE", "state": "optimized geometry", "lattice": [[3.668, 0.000, 0.000], [0.000, 4.604, 0.000], [0.000, 0.000, 3.646]], "species": ["Se", "Cu", "Cu", "Si"], "fractional_positions": [[0.500, 0.000, 0.500], [0.000, 0.000, 0.000], [0.500, 0.500, 0.000], [0.000, 0.500, 0.500]], "sg": "No. 47"}



{"formula": "CuSi2Se", "functional": "PBE", "state": "optimized geometry", "lattice": [[-2.022, 0.653, -2.580], [1.878, -1.945, -1.964], [-3.787, -5.299, 1.627]], "species": ["Se", "Cu", "Si", "Si"], "fractional_positions": [[0.500, 0.500, 0.637], [0.000, 0.000, 0.473], [0.500, 0.500, 0.279], [0.000, 0.000, 0.110]], "sg": "No. 99"}



{"formula": "CuSiSe", "functional": "PBE", "state": "optimized geometry", "lattice": [[-1.853, -1.839, -5.454], [-3.580, -4.207, -2.458], [1.092, 4.343, 4.063]], "species": ["Cu", "Se", "Si"], "fractional_positions": [[0.012, 0.012, 0.000], [0.351, 0.351, 0.000], [0.637, 0.637, 0.000]], "sg": "No. 107"}



{"formula": "Cu2SiSe", "functional": "PBE", "state": "optimized geometry", "lattice": [[5.833, 0.007, -0.063], [4.845, 3.248, -0.063], [-0.966, -0.295, 3.452]], "species": ["Cu", "Cu", "Se", "Si"], "fractional_positions": [[0.738, 0.738, 0.766], [0.017, 0.017, 0.988], [0.487, 0.487, 0.461], [0.258, 0.258, 0.284]], "sg": "No. 8"}



{"formula": "CuSi2Se", "functional": "PBE", "state": "optimized geometry", "lattice": [[-0.075, -4.167, 3.647], [4.050, -2.528, -2.806], [5.733, -0.741, 3.476]], "species": ["Cu", "Cu", "Si", "Si", "Si", "Si", "Se", "Se"], "fractional_positions": [[0.500, 0.500, 0.000], [0.250, 0.750, 0.500], [0.375, 0.415, 0.750], [0.585, 0.125, 0.250], [0.875, 0.835, 0.750], [0.165, 0.625, 0.250], [0.750, 0.250, 0.500], [0.000, 0.000, 0.000]], "sg": "No. 122"}



{"formula": "CuSiSe", "functional": "PBE", "state": "optimized geometry", "lattice": [[7.426, 0.002, -0.002], [6.809, 2.696, 0.022], [0.617, -0.446, 2.657]], "species": ["Si", "Cu", "Se"], "fractional_positions": [[0.369, 0.369, 0.631], [0.993, 0.993, 0.007], [0.638, 0.638, 0.362]], "sg": "No. 42"}



{"formula": "Cu2SiSe", "functional": "PBE", "state": "optimized geometry", "lattice": [[4.342, -0.057, 0.000], [-1.229, 4.165, 0.000], [0.000, 0.000, 3.366]], "species": ["Se", "Cu", "Cu", "Si"], "fractional_positions": [[0.500, 0.000, 0.500], [0.500, 0.500, 0.000], [0.000, 0.000, 0.000], [0.000, 0.500, 0.500]], "sg": "No. 65"}



{"formula": "Cu2SiSe", "functional": "PBE", "state": "optimized geometry", "lattice": [[5.893, 0.000, 0.000], [0.000, 5.893, 0.000], [2.946, 2.946, 4.406]], "species": ["Cu", "Cu", "Cu", "Cu", "Si", "Si", "Se", "Se"], "fractional_positions": [[0.375, 0.382, 0.750], [0.618, 0.125, 0.250], [0.132, 0.625, 0.250], [0.875, 0.868, 0.750], [0.500, 0.500, 0.000], [0.250, 0.750, 0.500], [0.750, 0.250, 0.500], [0.000, 0.000, 0.000]], "sg": "No. 122"}



{"formula": "CuSi2Se6", "functional": "PBE", "state": "optimized geometry", "lattice": [[6.251, -0.266, -0.257], [1.475, 8.156, -0.011], [1.475, 0.253, 8.152]], "species": ["Si", "Si", "Si", "Si", "Se", "Se", "Se", "Se", "Se", "Se", "Se", "Se", "Se", "Se", "Se", "Se", "Cu", "Cu"], "fractional_positions": [[0.657, 0.779, 0.616], [0.343, 0.221, 0.384], [0.843, 0.384, 0.221], [0.157, 0.616, 0.779], [0.339, 0.715, 0.535], [0.118, 0.817, 0.969], [0.641, 0.607, 0.119], [0.839, 0.535, 0.715], [0.359, 0.393, 0.881], [0.859, 0.881, 0.393], [0.882, 0.183, 0.031], [0.141, 0.119, 0.607], [0.661, 0.285, 0.465], [0.382, 0.031, 0.183], [0.618, 0.969, 0.817], [0.161, 0.465, 0.285], [0.750, 0.888, 0.112], [0.250, 0.112, 0.888]], "sg": "No. 15"}



{"formula": "CuSi2Se", "functional": "PBE", "state": "optimized geometry", "lattice": [[4.553, 0.018, 0.000], [-1.469, 4.310, 0.000], [0.000, 0.000, 3.342]], "species": ["Si", "Si", "Cu", "Se"], "fractional_positions": [[0.000, 0.000, 0.000], [0.500, 0.500, 0.000], [0.500, 0.000, 0.500], [0.000, 0.500, 0.500]], "sg": "No. 65"}



{"formula": "CuSiSe", "functional": "PBE", "state": "optimized geometry", "lattice": [[-2.311, -1.652, 0.063], [2.517, -1.105, -0.721], [1.396, -1.669, 7.432]], "species": ["Si", "Cu", "Se"], "fractional_positions": [[0.667, 0.333, 0.741], [0.000, 0.000, 0.993], [0.333, 0.667, 0.265]], "sg": "No. 156"}



What energy relative to the elements, uncorrected values result from the calculations? In sequence: -0.01, 0.18, 0.44, 0.23, 0.29, 0.28, 0.29, -0.14, 0.21, 0.49, 0.41, 0.14, 0.31, 0.37, 0.28, 0.29, 0.32, 0.29, 0.38, 0.15, 0.26, 0.40, 0.29, 0.23, -0.13, 0.48, 0.39 eV/atom.